This record from Alexandria via LeMat-Bulk describes a relaxed Tm3Tl2 crystal. The functional is PBE.

Cell: 8.8076 8.8076 8.8076 Å, 139.70 139.70 58.30°
With the nearest neighbours (Å) after each atom.
Sites, in units of the cell vectors:
Tm  0.0000  0.0000  0.0000  2 Tm 3.03, 2 Tl 3.14
Tm  0.0000  0.0000  0.5000  2 Tm 3.03, 2 Tl 3.14
Tm  0.0000  0.5000  0.0000  2 Tm 3.03, 2 Tl 3.14
Tm  0.3750  0.6250  0.7500  6 Tl 3.02-3.14
Tm  0.5000  0.0000  0.5000  2 Tm 3.03, 2 Tl 3.14
Tm  0.6250  0.3750  0.2500  6 Tl 3.02-3.14
Tl  0.1784  0.4284  0.7500  5 Tm 3.02-3.14
Tl  0.4284  0.1784  0.2500  5 Tm 3.02-3.14
Tl  0.5716  0.8216  0.7500  5 Tm 3.02-3.14
Tl  0.8216  0.5716  0.2500  5 Tm 3.02-3.14

Computed properties:
Excess energy over the best structure of this formula in the dataset (meV/atom): 144
Formation enthalpy at 0 K (meV per atom): -108.4
N(E_F) (states/eV per atom): 1.489
DFT total energy (eV per atom): -3.738
Mass density (g/cm³): 10.7